First-principles (PBE) data for an optimized crystal structure of TlPtSCl2, as listed in Alexandria via LeMat-Bulk.

a b c (Å): 5.1370 5.1370 5.2957
angles (deg): 90.00 90.00 90.00
Closest atoms and distances in Å follow each position.
Atoms (fractional coordinates):
Tl 0.0000 0.0000 0.0000  4 Cl 2.57, 2 S 2.65
Pt 0.5000 0.5000 0.5000  4 S 3.63, 8 Cl 3.69
S 0.0000 0.0000 0.5000  2 Tl 2.65
Cl 0.0000 0.5000 0.0000  2 Tl 2.57
Cl 0.5000 0.0000 0.0000  2 Tl 2.57

Output
As for the total moment: 1.30 μB/cell. For the calculated density, the calculation gives 5970 kg/m3. The density of states at the Fermi level comes out at 3.61 states/eV per cell. The energy relative to the lowest polymorph listed for this composition comes out at 1054 meV/atom. As for the formation energy (no corrections): 0.754 eV per atom.